1.
Here is an optimized crystal structure of InPtCl2 from Alexandria. Energies are from PBE.

- energy above the lowest structure with this stoichiometry (meV/atom) = 301
- SG = No. 166
- formation energy without anion corrections (eV/atom) = -0.137

Unit cell a=9.5151 b=9.5151 c=9.5151 alpha=20.01 beta=20.01 gamma=20.01
Last column: nearest neighbours and their distance in Å.
Fractional coordinates of all 4 atoms:
Cl: 0.0814 0.0814 0.0814  1 Pt 2.28
Cl: 0.9186 0.9186 0.9186  1 Pt 2.28
In: 0.5000 0.5000 0.5000  6 Cl 3.06, 6 In 3.31
Pt: 0.0000 0.0000 0.0000  2 Cl 2.28

2.
Here is an optimized crystal structure of AgRhF5 from Alexandria. Energies are from PBE.

- SG = No. 15
- formation energy without anion corrections (eV/atom) = -1.382

Unit cell a=5.5907 b=5.5907 c=7.6444 alpha=72.68 beta=72.68 gamma=75.60
Last column: nearest neighbours and their distance in Å.
Fractional coordinates of all 14 atoms:
F: 0.9067 0.0933 0.2500  2 Rh 2.02
F: 0.2134 0.6686 0.4821  1 Rh 1.96
F: 0.3314 0.7866 0.0179  1 Rh 1.96
F: 0.1499 0.3042 0.8766  1 Rh 1.94
F: 0.3042 0.1499 0.3766  1 Rh 1.94
F: 0.7866 0.3314 0.5179  1 Rh 1.96
F: 0.6958 0.8501 0.6234  1 Rh 1.94
F: 0.6686 0.2134 0.9821  1 Rh 1.96
F: 0.0933 0.9067 0.7500  2 Rh 2.02
F: 0.8501 0.6958 0.1234  1 Rh 1.94
Ag: 0.5237 0.4763 0.2500  4 F 2.26-2.38
Ag: 0.4763 0.5237 0.7500  4 F 2.26-2.38
Rh: 0.0000 0.0000 0.0000  6 F 1.94-2.02
Rh: 0.0000 0.0000 0.5000  6 F 1.94-2.02

3.
Here is an optimized crystal structure of Er5GaAu4 from Alexandria. Energies are from PBE.

- formation enthalpy at 0 K (eV/atom) = -0.82
- SG = No. 123

Unit cell a=3.5509 b=3.5509 c=17.9617 alpha=90.00 beta=90.00 gamma=90.00
Last column: nearest neighbours and their distance in Å.
Fractional coordinates of all 10 atoms:
Er: 0.5000 0.5000 0.5000  8 Au 3.08
Er: 0.5000 0.5000 0.2992  8 Au 3.10
Er: 0.5000 0.5000 0.9001  4 Au 3.06, 4 Ga 3.09
Er: 0.5000 0.5000 0.0999  4 Au 3.06, 4 Ga 3.09
Er: 0.5000 0.5000 0.7008  8 Au 3.10
Au: 0.0000 0.0000 0.1977  8 Er 3.06-3.10
Au: 0.0000 0.0000 0.8023  8 Er 3.06-3.10
Au: 0.0000 0.0000 0.4005  8 Er 3.08-3.10
Au: 0.0000 0.0000 0.5995  8 Er 3.08-3.10
Ga: 0.0000 0.0000 0.0000  8 Er 3.09

4.
Here is an optimized crystal structure of Be3ZnIn from Alexandria. Energies are from PBE.

- energy above the lowest structure with this stoichiometry (meV/atom) = 448
- formation enthalpy at 0 K (eV/atom) = 1.19
- SG = No. 221

Unit cell a=4.5762 b=4.5762 c=4.5762 alpha=90.00 beta=90.00 gamma=90.00
Last column: nearest neighbours and their distance in Å.
Fractional coordinates of all 5 atoms:
Zn: 0.5000 0.5000 0.5000  12 Be 3.24
In: 0.0000 0.0000 0.0000  6 Be 2.29
Be: 0.0000 0.0000 0.5000  2 In 2.29
Be: 0.5000 0.0000 0.0000  2 In 2.29
Be: 0.0000 0.5000 0.0000  2 In 2.29

| no. | density of states at the Fermi level (states/eV/cell) |
| --- | --- |
| 1 | 2.8 |
| 2 | 8.3 |
| 3 | 5.5 |
| 4 | 1.2 |